Entry 1:
A plane-wave DFT calculation with GGA-PBE was carried out for a geometry-optimized Tm6SnRu structure.

Results
Volume ... 251.0 Å³/cell
Size of the total moment ... 0.00 μB/f.u.
Raw total energy ... -5.12 eV/atom
Density ... 8.2 Mg/m³
DOS at the Fermi energy ... 7.6 states/eV per cell
Space-group type ... R-3 (148)
Energy of formation from the pure elements ... -10.44 kJ per mole of atoms

```
Tm6SnRu
1.0
6.694 0.008 0.006
3.339 5.806 0.012
3.336 1.930 6.470
Tm Sn Ru
6 1 1
Cartesian
5.462 6.041 1.568 Tm
7.907 1.703 4.919 Tm
9.176 3.855 1.570 Tm
4.193 3.889 4.917 Tm
5.428 1.728 1.563 Tm
7.941 6.017 4.925 Tm
6.684 3.872 3.244 Sn
0.000 0.000 0.000 Ru
```

***

Entry 2:
A plane-wave DFT calculation with GGA-PBE was carried out for a geometry-optimized Tm3SnRu structure.

Results
Relative energy among the computed polymorphs ... 0.000 eV per atom
Volume ... 242.9 Å³/cell
Size of the total moment ... 0.00 μB/f.u.
Raw total energy ... -5.81 eV/atom
Density ... 9.9 Mg/m³
DOS at the Fermi energy ... 6.3 states/eV per cell
Space-group type ... Pmma (51)
Energy of formation from the pure elements ... -45.09 kJ per mole of atoms

```
Tm3SnRu
1.0
3.298 0.000 0.001
0.000 8.044 0.000
-0.003 0.000 9.155
Tm Sn Ru
6 2 2
Cartesian
0.297 5.458 8.127 Tm
0.299 4.393 3.550 Tm
0.296 2.603 6.291 Tm
0.299 2.603 0.808 Tm
0.298 7.248 1.713 Tm
0.298 7.248 5.386 Tm
1.945 1.436 3.549 Sn
1.944 0.371 8.127 Sn
1.948 4.925 1.261 Ru
1.946 4.925 5.839 Ru
```